[1]
8
Lattice="0.880 -3.297 5.251 3.304 2.453 4.720 -2.887 1.706 5.289" Properties=species:S:1:pos:R:3 comment="Mg7V PBE optimized geometry" de_polymorph_mev_per_atom=18 rho_kg_m3=2114 pbc="T T T"
Mg -1.444 0.853 2.644
Mg 1.652 1.226 2.360
Mg 0.209 2.079 5.005
V 0.000 0.000 0.000
Mg -1.004 -0.796 5.270
Mg 0.440 -1.648 2.626
Mg 0.649 0.431 7.630
Mg 2.092 -0.422 4.986



[2]
8
Lattice="-4.698 -0.180 4.152 4.202 -4.653 -0.185 2.892 2.478 3.380" Properties=species:S:1:pos:R:3 comment="Mg7V PBE optimized geometry" de_polymorph_mev_per_atom=0 rho_kg_m3=2116 pbc="T T T"
Mg 0.353 -2.067 5.048
Mg -0.259 -2.411 1.989
Mg -2.591 -2.500 4.049
V 0.000 0.000 0.000
Mg -2.344 -0.102 2.081
Mg -1.820 0.339 5.144
Mg 0.610 0.432 2.997
Mg 2.681 -1.923 2.951



[3]
6
Lattice="-1.481 -4.792 -1.102 3.490 -3.751 -0.343 0.213 -3.647 3.609" Properties=species:S:1:pos:R:3 comment="MgV2 PBE optimized geometry" rho_kg_m3=4377 pbc="T T T"
V 1.282 -5.795 -0.452
V 2.129 -5.223 1.903
V 1.388 -7.619 1.352
Mg 0.000 0.000 0.000
V -0.356 -5.743 1.524
Mg 0.555 -3.048 0.541



[4]
4
Lattice="4.038 -2.130 0.791 2.983 1.758 3.078 0.723 -2.173 4.028" Properties=species:S:1:pos:R:3 comment="Mg2VW PBE optimized geometry" de_polymorph_mev_per_atom=0 rho_kg_m3=6691 pbc="T T T"
Mg 5.808 -1.909 5.922
Mg 1.936 -0.636 1.974
W 3.872 -1.273 3.948
V 0.000 0.000 0.000



[5]
8
Lattice="-4.542 1.801 5.047 0.053 -6.600 2.403 -0.177 -1.785 5.366" Properties=species:S:1:pos:R:3 comment="MgV2W PBE optimized geometry" rho_kg_m3=7699 pbc="T T T"
W 0.000 0.000 0.000
V -4.060 -5.696 10.601
V -2.985 -0.103 4.916
W -3.482 -1.192 7.069
V -1.818 -2.982 6.761
V -0.471 -4.389 3.354
Mg -1.184 -5.393 5.747
Mg -2.245 -2.400 3.725



[6]
5
Lattice="4.536 0.000 0.000 0.000 4.536 0.000 0.000 0.000 4.536" Properties=species:S:1:pos:R:3 comment="MgVW3 PBE optimized geometry" de_polymorph_mev_per_atom=1030 rho_kg_m3=11154 pbc="T T T"
W 0.000 2.268 0.000
W 2.268 0.000 0.000
W 0.000 0.000 2.268
Mg 0.000 0.000 0.000
V 2.268 2.268 2.268



[7]
8
Lattice="7.387 0.000 0.000 0.000 7.387 0.000 3.693 3.693 2.637" Properties=species:S:1:pos:R:3 comment="Mg2VW PBE optimized geometry" de_polymorph_mev_per_atom=267 rho_kg_m3=6542 pbc="T T T"
V 3.693 3.693 0.000
Mg 5.540 5.596 1.977
W 0.000 0.000 0.000
W 7.387 3.693 1.318
Mg 9.234 9.177 1.977
Mg 1.903 5.540 0.659
Mg 5.484 1.847 0.659
V 3.693 7.387 1.318



[8]
8
Lattice="2.972 -5.475 0.000 2.972 5.475 0.000 0.000 0.000 4.747" Properties=species:S:1:pos:R:3 comment="Mg6VW PBE optimized geometry" de_polymorph_mev_per_atom=0 rho_kg_m3=4092 pbc="T T T"
W 2.972 2.117 2.374
Mg 2.972 -3.599 2.374
Mg 4.503 -0.826 2.374
Mg 1.441 -0.826 2.374
Mg 4.394 0.844 0.000
Mg 1.549 0.844 0.000
V 2.972 3.330 0.000
Mg 2.972 -1.884 0.000



[9]
5
Lattice="4.589 0.000 0.000 0.000 4.589 0.000 0.000 0.000 4.589" Properties=species:S:1:pos:R:3 comment="MgVW3 PBE optimized geometry" de_polymorph_mev_per_atom=0 rho_kg_m3=10767 pbc="T T T"
W 2.295 0.000 0.000
W 0.000 0.000 2.295
Mg 2.295 2.295 2.295
V 0.000 0.000 0.000
W 0.000 2.295 0.000



[10]
8
Lattice="3.791 0.000 0.000 0.000 3.791 0.000 1.896 1.896 9.679" Properties=species:S:1:pos:R:3 comment="MgVW2 PBE optimized geometry" rho_kg_m3=10574 pbc="T T T"
Mg 1.896 1.896 0.000
W 2.888 0.948 2.420
W 4.739 4.784 7.259
V 0.000 0.000 0.000
Mg 1.896 3.791 4.840
V 3.791 1.896 4.840
W 2.843 2.798 7.259
W 0.903 2.843 2.420



[11]
8
Lattice="-4.766 0.548 -3.873 3.156 -5.226 0.857 -3.089 -1.272 3.621" Properties=species:S:1:pos:R:3 comment="Mg6VW PBE optimized geometry" de_polymorph_mev_per_atom=83 rho_kg_m3=4069 pbc="T T T"
Mg -3.352 -3.707 -0.810
Mg 1.714 -4.174 -0.004
W -0.961 -3.987 1.132
Mg -0.526 -3.967 -1.842
V -4.952 -1.077 -1.251
Mg 0.258 -1.687 -0.373
Mg -2.247 -1.287 -2.369
Mg -2.547 -1.366 0.699



[12]
5
Lattice="-4.438 -2.101 1.523 1.568 -0.128 4.392 -1.936 4.690 0.828" Properties=species:S:1:pos:R:3 comment="MgZr2VW PBE optimized geometry" rho_kg_m3=5946 pbc="T T T"
V 0.784 -0.064 2.196
Zr -0.968 2.345 0.414
Mg -2.403 1.231 3.371
W 0.000 0.000 0.000
Zr -2.219 -1.050 0.762



[13]
8
Lattice="4.259 0.000 0.000 0.000 4.259 0.000 2.129 2.129 10.952" Properties=species:S:1:pos:R:3 comment="YMg2V PBE optimized geometry" rho_kg_m3=3151 pbc="T T T"
Mg 5.324 5.223 8.214
Mg 3.094 1.065 2.738
Mg 3.194 3.295 8.214
Mg 1.165 3.194 2.738
Y 4.259 2.129 5.476
V 2.129 2.129 0.000
Y 0.000 0.000 0.000
V 2.129 4.259 5.476



[14]
10
Lattice="-2.045 2.078 7.638 -3.298 -7.395 1.129 3.131 -1.218 1.170" Properties=species:S:1:pos:R:3 comment="Y2MgV2 PBE optimized geometry" rho_kg_m3=4246 pbc="T T T"
V -3.797 -2.400 7.666
Y 0.289 -1.489 3.085
Mg 0.000 0.000 0.000
Y -2.501 -5.047 6.851
V -3.880 -5.918 4.225
Y -1.046 -1.152 7.011
V -1.463 0.601 4.541
Y -1.165 -5.383 2.925
V -1.546 -2.917 1.100
Mg -2.672 -2.659 4.383



[15]
8
Lattice="4.322 2.064 4.438 -6.290 1.745 0.150 -1.068 -4.102 2.948" Properties=species:S:1:pos:R:3 comment="YMg6V PBE optimized geometry" de_polymorph_mev_per_atom=8 rho_kg_m3=2556 pbc="T T T"
Mg -1.378 0.962 0.839
Mg -2.325 2.796 3.048
Mg -0.205 -1.068 2.960
Y 1.957 -0.041 5.172
V -3.285 -0.199 3.054
Mg -4.350 1.804 0.934
Mg -1.184 0.826 5.241
Mg 0.760 1.957 2.998



[16]
8
Lattice="-0.653 5.750 -2.992 -2.780 -1.051 5.796 4.200 1.685 2.320" Properties=species:S:1:pos:R:3 comment="YMg6V PBE optimized geometry" de_polymorph_mev_per_atom=0 rho_kg_m3=2553 pbc="T T T"
V 0.026 2.051 4.036
Mg -1.059 0.683 1.421
Mg -2.710 2.942 2.770
Y -2.402 0.158 4.234
Mg 1.395 2.558 1.189
Mg -0.300 4.878 2.574
Mg -1.370 3.457 -0.030
Mg 1.084 5.434 -0.335



[17]
4
Lattice="-1.464 2.010 1.421 -2.859 -0.125 0.117 -0.852 -4.931 8.982" Properties=species:S:1:pos:R:3 comment="Mg2VZn PBE optimized geometry" rho_kg_m3=3801 pbc="T T T"
Zn -2.588 -1.523 5.260
Mg -1.010 -3.442 6.713
Mg -4.165 0.396 3.806
V 0.000 0.000 0.000



[18]
5
Lattice="3.461 0.000 0.000 0.000 3.461 0.000 1.731 1.731 6.709" Properties=species:S:1:pos:R:3 comment="MgV2Zn2 PBE optimized geometry" de_polymorph_mev_per_atom=56 rho_kg_m3=5311 pbc="T T T"
V 1.731 3.461 3.354
V 3.461 1.731 3.354
Zn 1.731 1.731 1.289
Mg 0.000 0.000 0.000
Zn 3.461 3.461 5.420



[19]
8
Lattice="7.170 0.000 0.000 0.000 7.170 0.000 3.585 3.585 2.789" Properties=species:S:1:pos:R:3 comment="MgVZn2 PBE optimized geometry" rho_kg_m3=4772 pbc="T T T"
Mg 3.585 7.170 1.395
Zn 1.738 5.378 0.697
V 7.170 3.585 1.395
Zn 8.963 9.018 2.092
Zn 5.433 1.793 0.697
V 0.000 0.000 0.000
Mg 3.585 3.585 0.000
Zn 5.378 5.323 2.092



[20]
4
Lattice="-1.390 1.527 3.051 2.431 -2.348 2.283 2.890 2.875 -0.122" Properties=species:S:1:pos:R:3 comment="MgVZn2 PBE optimized geometry" rho_kg_m3=5583 pbc="T T T"
Mg -0.695 0.763 1.526
V 1.966 1.027 2.606
Zn 1.445 1.438 -0.061
Zn 1.216 -1.174 1.141



[21]
10
Lattice="7.499 0.000 0.000 0.000 7.499 0.000 0.000 0.000 2.833" Properties=species:S:1:pos:R:3 comment="MgV2Zn2 PBE optimized geometry" de_polymorph_mev_per_atom=0 rho_kg_m3=5358 pbc="T T T"
Zn 6.049 2.300 1.417
Mg 0.000 0.000 0.000
V 6.740 4.508 0.000
V 4.508 0.759 0.000
V 0.759 2.991 0.000
Zn 2.300 1.449 1.417
Mg 3.749 3.749 0.000
Zn 5.199 6.049 1.417
Zn 1.449 5.199 1.417
V 2.991 6.740 0.000



[22]
10
Lattice="-0.748 -2.758 -6.533 -5.169 -4.285 2.401 -2.072 2.129 -0.661" Properties=species:S:1:pos:R:3 comment="MgV2Zn2 PBE optimized geometry" de_polymorph_mev_per_atom=64 rho_kg_m3=5516 pbc="T T T"
Zn -4.798 -4.777 -0.345
V -2.168 -0.576 -2.066
Mg 0.000 0.000 0.000
V -4.635 -2.286 0.161
Mg -2.959 -3.522 -2.066
Zn -2.028 -1.950 0.076
V -5.821 -4.338 -2.728
Zn -3.889 -5.093 -4.208
Zn -1.119 -2.266 -3.787
V -3.354 -2.629 -4.955



[23]
4
Lattice="-0.355 -0.452 2.769 0.007 -2.791 -0.455 7.658 -0.137 0.960" Properties=species:S:1:pos:R:3 comment="MgVZn2 PBE optimized geometry" rho_kg_m3=5543 pbc="T T T"
V -0.174 -1.622 1.157
Mg 3.655 -1.690 1.637
Zn 5.871 -0.105 0.736
Zn 1.787 -0.032 0.224



[24]
4
Lattice="2.826 0.000 0.000 1.413 2.447 0.000 1.413 0.816 9.210" Properties=species:S:1:pos:R:3 comment="MgVZn2 PBE optimized geometry" rho_kg_m3=5373 pbc="T T T"
Mg 2.826 1.631 4.605
Zn 1.413 0.816 2.174
V 0.000 0.000 0.000
Zn 4.238 2.447 7.036



[25]
8
Lattice="-5.365 3.454 3.975 -5.039 -1.722 -5.305 -5.768 -1.525 0.648" Properties=species:S:1:pos:R:3 comment="Mg2VZn PBE optimized geometry" rho_kg_m3=3480 pbc="T T T"
Zn 0.000 0.000 0.000
V -5.202 0.866 -0.665
Mg -8.097 -0.450 0.124
Mg -13.560 0.327 -0.815
Zn -8.167 1.398 1.979
Mg -5.563 1.652 2.086
Mg -5.124 -1.115 -2.759
V -8.005 -1.191 -2.661



[26]
16
Lattice="3.121 -5.415 0.000 3.121 5.415 0.000 0.000 0.000 10.241" Properties=species:S:1:pos:R:3 comment="Mg14VZn PBE optimized geometry" rho_kg_m3=2190 pbc="T T T"
Mg 3.121 -3.617 0.000
Mg 4.677 0.932 2.690
Mg 3.121 -1.815 2.594
V 3.121 1.812 5.121
Zn 3.121 -3.613 5.121
Mg 1.552 -0.934 5.121
Mg 4.690 -0.934 5.121
Mg 1.561 -0.893 0.000
Mg 3.121 -1.815 7.647
Mg 1.566 0.932 2.690
Mg 4.677 0.932 7.551
Mg 4.681 -0.893 0.000
Mg 3.121 3.589 7.647
Mg 1.566 0.932 7.551
Mg 3.121 3.589 2.594
Mg 3.121 1.795 0.000



Energy relative to the elements
In order: 0.167 0.150 0.338 0.795 0.872 2.526 1.062 0.300 1.496 0.977 0.383 0.875 0.560 0.290 0.155 0.147 0.448 0.274 0.428 0.052 0.218 0.282 0.029 0.141 0.496 0.066
Unit: eV per atom